! meta-GGA SCAN KBaCl2, single point on PBEsol structure; values from VASP
! Size of the total moment   0.1 μB per formula unit
! Uncorrected formation energy   -2.001 eV per atom
! Final energy   -71.84 eV for the cell shown
! Energy above the most stable polymorph in this dataset   0.000 eV/atom
&SYSTEM
  ibrav = 0, nat = 4, ntyp = 3
/
ATOMIC_SPECIES
K 39.10 K.upf
Ba 137.33 Ba.upf
Cl 35.45 Cl.upf
ATOMIC_POSITIONS crystal
K 0.4877 0.6281 0.9754
Ba 0.7703 0.1221 0.5405
Cl 0.9434 0.1269 0.8869
Cl 0.2986 0.6230 0.5972
CELL_PARAMETERS angstrom
4.3154 0.0000 0.0000
0.0000 4.3079 0.0655
-2.1577 -0.1980 8.6914